Compound: BaCr3Pb
Source: Alexandria via LeMat-Bulk
Functional: GGA-PBE
Structure: optimized geometry

CIF file:
```
data_BaCr3Pb
_chemical_formula_sum 'Ba1 Cr3 Pb1'
_cell_length_a 5.310
_cell_length_b 5.310
_cell_length_c 5.310
_cell_angle_alpha 90.00
_cell_angle_beta 90.00
_cell_angle_gamma 90.00
_symmetry_space_group_name_H-M 'P m -3 m'
_symmetry_Int_Tables_number 221
_symmetry_space_group_name_Hall '-P 4 2 3'
loop_
_atom_site_label
_atom_site_type_symbol
_atom_site_fract_x
_atom_site_fract_y
_atom_site_fract_z
Ba1 Ba 0.000 0.000 0.000
Cr1 Cr 0.000 0.000 0.500
Pb1 Pb 0.500 0.500 0.500
```

Calculated values
The value obtained for the energy above the most stable polymorph in this dataset is 1057.0 meV/atom. As for the formation energy: 1018.9 kJ/mol of formula units. Its total energy is -4.7882 eV/atom.



Compound: Ca3TlRu
Source: Alexandria via LeMat-Bulk
Functional: GGA-PBE
Structure: optimized geometry

CIF file:
```
data_Ca3TlRu
_chemical_formula_sum 'Ca3 Tl1 Ru1'
_cell_length_a 5.453
_cell_length_b 5.453
_cell_length_c 5.453
_cell_angle_alpha 90.00
_cell_angle_beta 90.00
_cell_angle_gamma 90.00
_symmetry_space_group_name_H-M 'P m -3 m'
_symmetry_Int_Tables_number 221
_symmetry_space_group_name_Hall '-P 4 2 3'
loop_
_atom_site_label
_atom_site_type_symbol
_atom_site_fract_x
_atom_site_fract_y
_atom_site_fract_z
Ca1 Ca 0.000 0.000 0.500
Tl1 Tl 0.500 0.500 0.500
Ru1 Ru 0.000 0.000 0.000
```

Calculated values
The value obtained for the energy above the most stable polymorph in this dataset is 0.0 meV/atom. As for the formation energy: 47.3 kJ/mol of formula units. Its total energy is -3.4314 eV/atom.



Compound: CdHg2AuO4
Source: Alexandria via LeMat-Bulk
Functional: GGA-PBE
Structure: optimized geometry

CIF file:
```
data_CdHg2AuO4
_chemical_formula_sum 'Cd2 Hg4 Au2 O8'
_cell_length_a 6.126
_cell_length_b 6.126
_cell_length_c 6.787
_cell_angle_alpha 90.00
_cell_angle_beta 90.00
_cell_angle_gamma 90.00
_symmetry_space_group_name_H-M 'I -4'
_symmetry_Int_Tables_number 82
_symmetry_space_group_name_Hall 'I -4'
loop_
_atom_site_label
_atom_site_type_symbol
_atom_site_fract_x
_atom_site_fract_y
_atom_site_fract_z
Cd1 Cd 0.000 0.000 0.000
Hg1 Hg 0.000 0.000 0.500
Hg2 Hg 0.000 0.500 0.250
Au1 Au 0.000 0.500 0.750
O1 O 0.160 0.802 0.757
```

Calculated values
Its uncorrected formation energy is -29 kJ/mol of atoms. Its total energy is -3.3754 eV/atom.



Number 1: magnetization 12.15 μB/cell. Number 2: magnetization 0.00 μB/cell. Number 3: magnetization 0.00 μB/cell.